Entry 1:
{"formula": "MgS2Cl", "functional": "PBE", "state": "optimized geometry", "cell": [[-7.154, -0.893, -1.706], [-7.083, 1.875, 1.095], [-6.312, 2.838, -2.646]], "species": ["S", "S", "Mg", "Cl"], "frac_coords": [[0.891, 0.891, 0.891], [0.109, 0.109, 0.109], [0.500, 0.500, 0.500], [0.000, 0.000, 0.000]], "relative_energy_ev_per_fu": 0.462, "formation_energy_uncorrected_ev_per_atom": -0.3987, "rho_g_cm3": 2.17, "n_ef_per_ev_atom": 0.787}


Entry 2:
{"formula": "Mg2SbSCl", "functional": "PBE", "state": "optimized geometry", "cell": [[-3.641, 1.912, 3.657], [1.469, -3.475, 3.280], [3.797, 3.464, 1.969]], "species": ["Sb", "S", "Mg", "Mg", "Cl"], "frac_coords": [[0.000, 0.000, 0.000], [0.000, 0.500, 0.000], [0.000, 0.000, 0.500], [0.500, 0.000, 0.000], [0.500, 0.500, 0.500]], "formation_energy_uncorrected_ev_per_atom": -0.1191, "rho_g_cm3": 2.61, "n_ef_per_ev_atom": 0.120}


Entry 3:
{"formula": "MgScSCl2", "functional": "PBE", "state": "optimized geometry", "cell": [[4.995, 0.000, 0.000], [0.000, 4.995, 0.000], [0.000, 0.000, 5.000]], "species": ["Sc", "S", "Mg", "Cl", "Cl"], "frac_coords": [[0.000, 0.000, 0.000], [0.000, 0.000, 0.500], [0.500, 0.500, 0.500], [0.000, 0.500, 0.000], [0.500, 0.000, 0.000]], "relative_energy_ev_per_fu": 0.000, "formation_energy_uncorrected_ev_per_atom": -1.2386, "rho_g_cm3": 2.29, "n_ef_per_ev_atom": 0.444}


Entry 4:
{"formula": "MgScSCl2", "functional": "PBE", "state": "optimized geometry", "cell": [[-0.996, -2.909, 3.515], [2.901, -3.180, -1.811], [3.885, 1.982, 2.742]], "species": ["Sc", "S", "Mg", "Cl", "Cl"], "frac_coords": [[0.500, 0.500, 0.500], [0.000, 0.000, 0.500], [0.000, 0.000, 0.000], [0.000, 0.500, 0.000], [0.500, 0.000, 0.000]], "relative_energy_ev_per_fu": 0.949, "formation_energy_uncorrected_ev_per_atom": -1.0488, "rho_g_cm3": 2.55, "n_ef_per_ev_atom": 0.794}


Entry 5:
{"formula": "MgSiSCl2", "functional": "PBE", "state": "optimized geometry", "cell": [[4.656, 0.000, 0.000], [0.000, 4.656, 0.000], [0.000, 0.000, 5.205]], "species": ["Mg", "S", "Si", "Cl", "Cl"], "frac_coords": [[0.000, 0.000, 0.000], [0.000, 0.000, 0.500], [0.500, 0.500, 0.500], [0.000, 0.500, 0.000], [0.500, 0.000, 0.000]], "relative_energy_ev_per_fu": 0.000, "formation_energy_uncorrected_ev_per_atom": -0.3831, "rho_g_cm3": 2.29, "n_ef_per_ev_atom": 0.007}


Entry 6:
{"formula": "MgSiS2Cl", "functional": "PBE", "state": "optimized geometry", "cell": [[4.639, 0.000, 0.000], [0.000, 4.639, 0.000], [0.000, 0.000, 4.582]], "species": ["Mg", "S", "S", "Si", "Cl"], "frac_coords": [[0.500, 0.500, 0.500], [0.000, 0.500, 0.000], [0.500, 0.000, 0.000], [0.000, 0.000, 0.000], [0.000, 0.000, 0.500]], "relative_energy_ev_per_fu": 0.000, "formation_energy_uncorrected_ev_per_atom": -0.3199, "rho_g_cm3": 2.56, "n_ef_per_ev_atom": 0.511}


Entry 7:
{"formula": "MgSi2SCl", "functional": "PBE", "state": "optimized geometry", "cell": [[-1.470, 3.891, -2.243], [-3.012, -2.793, -2.870], [-3.479, 0.506, 3.159]], "species": ["Mg", "S", "Si", "Si", "Cl"], "frac_coords": [[0.500, 0.500, 0.500], [0.000, 0.500, 0.000], [0.000, 0.000, 0.500], [0.500, 0.000, 0.000], [0.000, 0.000, 0.000]], "formation_energy_uncorrected_ev_per_atom": 0.8886, "rho_g_cm3": 2.20, "n_ef_per_ev_atom": 0.604}


Entry 8:
{"formula": "MgSnSCl2", "functional": "PBE", "state": "optimized geometry", "cell": [[-3.200, -1.431, -3.187], [1.563, -4.452, 0.429], [-3.431, -0.837, 3.820]], "species": ["Mg", "S", "Sn", "Cl", "Cl"], "frac_coords": [[0.000, 0.000, 0.000], [0.000, 0.000, 0.500], [0.500, 0.500, 0.500], [0.000, 0.500, 0.000], [0.500, 0.000, 0.000]], "relative_energy_ev_per_fu": 0.000, "formation_energy_uncorrected_ev_per_atom": -0.9273, "rho_g_cm3": 3.50}